# 1
Ca2MgH after structural relaxation. Source: Alexandria, functional PBE.

Structure (extended XYZ):
```
4
Lattice="3.5848 0.0000 0.0000 1.7924 3.1045 0.0000 1.7924 1.0348 9.5511" Properties=species:S:1:pos:R:3 pbc="T T T"
H 3.5848 2.0697 4.7756
Ca 1.7924 1.0349 6.2370
Ca 5.3772 3.1045 3.3141
Mg 0.0000 0.0000 0.0000
```

Output
Distance to the lowest polymorph of the same formula (eV per atom): 0.188
Total energy (eV per atom): -2.167

# 2
Ca2MgH6 after structural relaxation. Source: Alexandria, functional PBE.

Structure (extended XYZ):
```
9
Lattice="3.5239 -0.0003 -1.1391 -0.7657 4.5444 -2.3699 0.0800 0.3270 6.2670" Properties=species:S:1:pos:R:3 pbc="T T T"
Ca 0.9830 1.7507 3.0394
Ca 1.8552 3.1205 -0.2813
Mg 0.0000 0.0000 0.0000
H 2.9636 0.6036 3.1462
H 0.2728 1.9044 0.8442
H -0.1254 4.2676 -0.3881
H 1.5868 1.0393 -1.1116
H 2.5654 2.9668 1.9139
H 1.1714 3.5048 -2.3973
```

Output
Total energy (eV per atom): -3.247

# 3
Ca4Mg3H14 after structural relaxation. Source: Alexandria, functional PBE.

Structure (extended XYZ):
```
21
Lattice="-3.4614 -1.7077 4.8451 3.7594 -4.1035 -2.7205 5.0474 1.8104 4.2441" Properties=species:S:1:pos:R:3 pbc="T T T"
Ca 3.6986 1.3266 3.1099
Ca 1.3488 0.4838 1.1342
Ca 1.4692 -1.6011 4.4452
Ca 3.8761 -2.3997 1.9234
Mg 0.1302 -2.5394 0.9284
Mg -1.9488 -0.9615 2.7279
Mg 2.1166 -2.3103 -1.5317
H 3.7627 -0.9383 3.8883
H 1.5243 0.2608 6.0390
H 5.9535 -1.2088 1.3982
H 1.5151 -1.7445 1.9984
H -0.7234 -0.5454 4.1491
H 3.7059 -2.0150 -0.4917
H 2.7430 -3.3731 3.6861
H 1.6106 0.4547 3.4001
H 3.5154 -0.1772 1.4044
H 0.2294 -4.4751 1.6361
H -0.7958 -0.3926 1.1139
H 0.8643 -0.9434 -0.6255
H -1.0545 -2.5063 2.3232
H 1.3524 -3.3049 -0.1987
```

Output
Total energy (eV per atom): -3.264

Taking the records one at a time from the top gives total magnetization values of 0.00; 0.00; 0.00 μB/f.u..